PaTl4Fe3O12: optimized geometry, PBE with a Hubbard U.

Its space group is Im-3m, No. 229. The calculated volume comes out at 268 Å³/cell. The total energy comes out at -119.15 eV per cell.

Cell lengths 7.032, 7.032, 7.032 Å; angles 109.47, 109.47, 109.47 degrees
Element x y z (fractional)
1 Pa 0.000 0.000 0.000
2 Tl 0.000 0.000 0.500
3 Tl 0.000 0.500 0.000
4 Tl 0.500 0.000 0.000
5 Tl 0.500 0.500 0.500
6 Fe 0.000 0.500 0.500
7 Fe 0.500 0.000 0.500
8 Fe 0.500 0.500 0.000
9 O 0.000 0.261 0.261
10 O 0.000 0.739 0.739
11 O 0.250 0.500 0.750
12 O 0.250 0.750 0.500
13 O 0.261 0.000 0.261
14 O 0.261 0.261 0.000
15 O 0.500 0.250 0.750
16 O 0.500 0.750 0.250
17 O 0.739 0.000 0.739
18 O 0.739 0.739 0.000
19 O 0.750 0.250 0.500
20 O 0.750 0.500 0.250